The following is a PBE-GGA calculation of a relaxed structure of CoTcMo2, from Alexandria.

Cell: 2.672 2.672 8.212 Å, 90.00 90.00 103.89°
Positions (direct):
Mo (0.000, 0.000, 0.519)
Mo (0.000, 0.000, 0.981)
Co (0.500, 0.500, 0.750)
Tc (0.500, 0.500, 0.250)

space group: Cmmm
total moment: 0.0000 μB/atom
density of states at the Fermi level: 1.013 states/eV per atom
energy of formation: 0.49 eV per formula unit

---

The following is a PBE-GGA calculation of a relaxed structure of CoTc2Mo, from Alexandria.

Cell: 3.793 3.793 3.846 Å, 90.00 90.00 90.00°
Positions (direct):
Mo (0.000, 0.500, 0.500)
Co (0.500, 0.000, 0.500)
Tc (0.000, 0.000, 0.000)
Tc (0.500, 0.500, 0.000)

space group: P4/mmm
total moment: 0.0002 μB/atom
density of states at the Fermi level: 1.040 states/eV per atom
energy of formation: 0.16 eV per formula unit

---

The following is a PBE-GGA calculation of a relaxed structure of CoTcMo2, from Alexandria.

Cell: 4.313 2.648 5.118 Å, 80.00 90.00 90.00°
Positions (direct):
Mo (0.000, 0.972, 0.987)
Mo (0.500, 0.214, 0.252)
Tc (0.000, 0.459, 0.504)
Co (0.500, 0.856, 0.757)

space group: Pm
total moment: 0.0000 μB/atom
density of states at the Fermi level: 0.976 states/eV per atom
energy of formation: 0.61 eV per formula unit

---

The following is a PBE-GGA calculation of a relaxed structure of CoTcMo2, from Alexandria.

Cell: 4.688 4.688 4.758 Å, 80.57 80.57 33.69°
Positions (direct):
Mo (0.990, 0.990, 0.011)
Mo (0.510, 0.510, 0.489)
Co (0.250, 0.250, 0.250)
Tc (0.750, 0.750, 0.750)

space group: C2/m
total moment: 0.0002 μB/atom
density of states at the Fermi level: 0.906 states/eV per atom
energy of formation: 0.74 eV per formula unit

---

The following is a PBE-GGA calculation of a relaxed structure of CoTcMo3, from Alexandria.

Cell: 4.399 4.399 4.399 Å, 90.00 90.00 90.00°
Positions (direct):
Tc (0.500, 0.500, 0.500)
Mo (0.500, 0.000, 0.000)
Mo (0.000, 0.500, 0.000)
Mo (0.000, 0.000, 0.500)
Co (0.000, 0.000, 0.000)

space group: Pm-3m
total moment: 0.0033 μB/atom
density of states at the Fermi level: 1.520 states/eV per atom
energy of formation: 6.53 eV per formula unit

---

The following is a PBE-GGA calculation of a relaxed structure of CoTcMo2, from Alexandria.

Cell: 4.720 4.720 4.724 Å, 80.45 80.45 33.47°
Positions (direct):
Mo (0.985, 0.985, 0.024)
Mo (0.752, 0.752, 0.740)
Co (0.246, 0.246, 0.244)
Tc (0.517, 0.517, 0.493)

space group: Cm
total moment: 0.0000 μB/atom
density of states at the Fermi level: 0.841 states/eV per atom
energy of formation: 0.61 eV per formula unit

---

The following is a PBE-GGA calculation of a relaxed structure of CoTcMo2, from Alexandria.

Cell: 4.345 4.345 4.345 Å, 60.00 60.00 60.00°
Positions (direct):
Tc (0.500, 0.500, 0.500)
Mo (0.750, 0.750, 0.750)
Mo (0.250, 0.250, 0.250)
Co (0.000, 0.000, 0.000)

space group: Fm-3m
total moment: 0.5783 μB/atom
density of states at the Fermi level: 1.518 states/eV per atom
energy of formation: 0.80 eV per formula unit

---

The following is a PBE-GGA calculation of a relaxed structure of CoTc2Mo2, from Alexandria.

Cell: 4.147 4.147 5.985 Å, 69.73 69.73 90.00°
Positions (direct):
Mo (0.250, 0.750, 0.500)
Mo (0.750, 0.250, 0.500)
Tc (0.383, 0.383, 0.233)
Tc (0.617, 0.617, 0.767)
Co (0.000, 0.000, 0.000)

space group: I4/mmm
total moment: 0.4178 μB/atom
density of states at the Fermi level: 1.651 states/eV per atom
energy of formation: 4.36 eV per formula unit